Entry 1:
DFT (PBE) results for YAl2As after structural relaxation.

Summary:
total DFT energy (no corrections): -18.97 eV for the cell shown
ΔE_f: -0.094 eV/atom
magnetic moment: 0.009 μB/f.u.
density: 3.91 g/cm³

a b c (Å): 8.023 8.023 8.023
angles (deg): 26.81 26.81 26.81
Positions (direct):
Al: 0.518 0.518 0.518
Al: 0.982 0.982 0.982
As: 0.250 0.250 0.250
Y: 0.750 0.750 0.750

=====

Entry 2:
DFT (PBE) results for La2Tb2Y4Ho after structural relaxation.

Summary:
total DFT energy (no corrections): -49.56 eV for the cell shown
ΔE_f: -0.001 eV/atom
magnetic moment: 0.000 μB/f.u.
density: 6.22 g/cm³

a b c (Å): 3.637 9.596 9.647
angles (deg): 115.20 90.00 100.92
Positions (direct):
Y: 0.480 0.960 0.664
Y: 0.520 0.040 0.336
Y: 0.814 0.629 0.663
Y: 0.186 0.371 0.337
Tb: 0.147 0.295 0.663
Tb: 0.853 0.705 0.337
La: 0.335 0.670 0.003
La: 0.665 0.330 0.997
Ho: 0.000 0.000 0.000

=====

Entry 3:
DFT (PBE) results for PaCuRh4S8 after structural relaxation.

Summary:
total DFT energy (no corrections): -85.47 eV for the cell shown
ΔE_f (raw): -0.68 eV/atom
magnetic moment: 1.927 μB/f.u.
density: 6.16 g/cm³

a b c (Å): 7.256 7.256 7.067
angles (deg): 59.11 59.11 60.00
Last column: magnetic moment on the atom in μB.
Positions (direct):
S: 0.738 0.738 0.287  0.06
S: 0.260 0.260 0.717  0.02
S: 0.260 0.763 0.717  0.02
S: 0.236 0.738 0.287  0.06
S: 0.763 0.260 0.717  0.02
S: 0.240 0.240 0.281  0.07
S: 0.738 0.236 0.287  0.06
S: 0.763 0.763 0.712  0.03
Rh: 0.000 0.502 0.498  0.10
Rh: 0.000 0.000 0.498  0.10
Rh: 0.502 0.000 0.498  0.10
Rh: 0.627 0.627 0.120  0.78
Cu: 0.374 0.374 0.878  0.04
Pa: 0.999 0.999 0.002  0.17

=====

Entry 4:
DFT (PBE) results for KTiCoTe3 after structural relaxation.

Summary:
total DFT energy (no corrections): -58.58 eV for the cell shown
ΔE_f (raw): -0.63 eV/atom
magnetic moment: 1.396 μB/f.u.
density: 5.14 g/cm³

a b c (Å): 3.855 9.482 10.429
angles (deg): 116.44 90.00 90.00
Last column: magnetic moment on the atom in μB.
Positions (direct):
K: 0.750 0.758 0.747  0.00
K: 0.250 0.242 0.253  0.00
Co: 0.750 0.918 0.405  1.33
Co: 0.250 0.082 0.595  1.33
Te: 0.250 0.535 0.868  0.01
Te: 0.250 0.105 0.850  0.02
Te: 0.250 0.780 0.463  0.04
Te: 0.750 0.220 0.537  0.04
Te: 0.750 0.895 0.150  0.02
Te: 0.750 0.465 0.132  0.01
Ti: 0.250 0.704 0.178  -0.08
Ti: 0.750 0.296 0.822  -0.08

=====

Entry 5:
DFT (PBE) results for Pm3Pd2Au9 after structural relaxation.

Summary:
total DFT energy (no corrections): -62.25 eV for the cell shown
ΔE_f: -0.580 eV/atom
magnetic moment: 0.000 μB/f.u.
density: 13.58 g/cm³

a b c (Å): 4.613 8.445 8.445
angles (deg): 73.15 74.15 74.15
Positions (direct):
Au: 0.000 0.500 0.500
Au: 0.659 0.706 0.975
Au: 0.124 0.600 0.151
Au: 0.876 0.849 0.400
Au: 0.124 0.151 0.600
Au: 0.876 0.400 0.849
Au: 0.341 0.294 0.025
Au: 0.659 0.975 0.706
Au: 0.341 0.025 0.294
Pd: 0.500 0.663 0.337
Pd: 0.500 0.337 0.663
Pm: 0.698 0.302 0.302
Pm: 0.000 0.000 0.000
Pm: 0.302 0.698 0.698

=====

Entry 6:
DFT (PBE) results for KTl2Te after structural relaxation.

Summary:
total DFT energy (no corrections): -10.09 eV for the cell shown
ΔE_f (raw): -0.28 eV/atom
energy above the most stable polymorph in this dataset: 137 meV/atom
magnetic moment: 0.000 μB/f.u.
density: 6.39 g/cm³

a b c (Å): 6.601 6.601 6.601
angles (deg): 48.80 48.80 48.80
Positions (direct):
Tl: 0.018 0.018 0.018
Tl: 0.482 0.482 0.482
Te: 0.750 0.750 0.750
K: 0.250 0.250 0.250